(1)
The following is a DFT calculation (PBE) of a geometry-optimized Mg2ZrNi2 structure.

abc: 7.580 7.580 2.781
angles: 90.00 90.00 90.00
Space group P4/mbm (No. 127)
Inequivalent atoms, fractional coordinates:
Mg 0.125 0.375 0.000
Zr 0.000 0.000 0.000
Ni 0.175 0.675 0.500

## Properties
For the density of states at the Fermi level, the calculation gives 0.287 states/eV/atom. For the formation energy, the calculation gives -0.07 eV/atom. For the electronic total energy, the calculation gives -4.7332 eV per atom.

=====

(2)
The following is a DFT calculation (PBE) of a geometry-optimized CdW3Br structure.

abc: 4.951 4.951 4.951
angles: 90.00 90.00 90.00
Space group Pm-3m (No. 221)
Inequivalent atoms, fractional coordinates:
Cd 0.000 0.000 0.000
W 0.000 0.000 0.500
Br 0.500 0.500 0.500

## Properties
For the density of states at the Fermi level, the calculation gives 2.002 states/eV/atom. The value obtained for the uncorrected formation energy is 3.327 eV per atom. For the electronic total energy, the calculation gives -4.9623 eV per atom.

=====

(3)
The following is a DFT calculation (PBE) of a geometry-optimized Nd2PaTl3Te6 structure.

abc: 7.786 13.478 8.682
angles: 90.00 107.37 90.00
Space group C2/m (No. 12)
Inequivalent atoms, fractional coordinates:
Nd 0.000 0.166 0.000
Pa 0.000 0.500 0.000
Tl 0.000 0.000 0.500
Tl 0.000 0.331 0.500
Te 0.235 0.337 0.220
Te 0.250 0.000 0.222

## Properties
For the density of states at the Fermi level, the calculation gives 0.765 states/eV/atom. The value obtained for the uncorrected formation energy is -0.902 eV per atom. For the electronic total energy, the calculation gives -4.6506 eV per atom.

=====

(4)
The following is a DFT calculation (PBE) of a geometry-optimized BeTeI2Br structure.

abc: 5.097 5.097 5.478
angles: 90.00 90.00 90.00
Space group P4/mmm (No. 123)
Inequivalent atoms, fractional coordinates:
Be 0.000 0.000 0.000
Te 0.000 0.000 0.500
I 0.000 0.500 0.000
Br 0.500 0.500 0.500

## Properties
For the density of states at the Fermi level, the calculation gives 0.870 states/eV/atom. The value obtained for the uncorrected formation energy is 0.265 eV per atom. For the electronic total energy, the calculation gives -2.0629 eV per atom.

=====

(5)
The following is a DFT calculation (PBE) of a geometry-optimized SnSe3Br structure.

abc: 5.323 5.323 5.323
angles: 90.00 90.00 90.00
Space group Pm-3m (No. 221)
Inequivalent atoms, fractional coordinates:
Sn 0.000 0.000 0.000
Se 0.000 0.000 0.500
Br 0.500 0.500 0.500

## Properties
For the density of states at the Fermi level, the calculation gives 1.484 states/eV/atom. The value obtained for the uncorrected formation energy is 0.512 eV per atom. For the electronic total energy, the calculation gives -2.7140 eV per atom.

=====

(6)
The following is a DFT calculation (PBE) of a geometry-optimized Ce2TiPb structure.

abc: 3.1832 3.1832 34.1330
angles: 90.00 90.00 120.00
Space group R-3m (No. 166, hexagonal axes)
Inequivalent atoms, fractional coordinates:
Ce 0.0000 0.0000 0.0805
Ti 0.0000 0.0000 0.0000
Pb 0.0000 0.0000 0.5000

## Properties
For the density of states at the Fermi level, the calculation gives 1.978 states/eV/atom. For the formation energy, the calculation gives 0.19 eV/atom. For the electronic total energy, the calculation gives -5.6797 eV per atom.

=====

(7)
The following is a DFT calculation (PBE) of a geometry-optimized LaMnTc structure.

abc: 4.252 4.252 6.897
angles: 90.00 90.00 90.00
Space group P4/nmm (No. 129, origin choice 2)
Inequivalent atoms, fractional coordinates:
La 0.250 0.250 0.153
Mn 0.250 0.250 0.660
Tc 0.250 0.750 0.500

## Properties
For the density of states at the Fermi level, the calculation gives 1.459 states/eV/atom. For the formation energy, the calculation gives 0.09 eV/atom. For the electronic total energy, the calculation gives -8.0638 eV per atom.

=====

(8)
The following is a DFT calculation (PBE) of a geometry-optimized PmHg2I structure.

abc: 3.9380 3.9380 32.6428
angles: 90.00 90.00 120.00
Space group R-3m (No. 166, hexagonal axes)
Inequivalent atoms, fractional coordinates:
Pm 0.0000 0.0000 0.0000
Hg 0.0000 0.0000 0.0946
I 0.0000 0.0000 0.5000

## Properties
For the density of states at the Fermi level, the calculation gives 0.587 states/eV/atom. The value obtained for the uncorrected formation energy is -0.002 eV per atom. For the electronic total energy, the calculation gives -1.7285 eV per atom.

=====

(9)
The following is a DFT calculation (PBE) of a geometry-optimized Ag3PdRu structure.

abc: 4.977 4.977 4.977
angles: 90.00 90.00 90.00
Space group Pm-3m (No. 221)
Inequivalent atoms, fractional coordinates:
Ag 0.000 0.000 0.500
Pd 0.000 0.000 0.000
Ru 0.500 0.500 0.500

## Properties
For the density of states at the Fermi level, the calculation gives 1.137 states/eV/atom. For the formation energy, the calculation gives 1.45 eV/atom. For the electronic total energy, the calculation gives -3.1581 eV per atom.

=====

(10)
The following is a DFT calculation (PBE) of a geometry-optimized BePb2Br2 structure.

abc: 4.450 4.450 17.182
angles: 90.00 90.00 90.00
Space group I4/mmm (No. 139)
Inequivalent atoms, fractional coordinates:
Be 0.000 0.000 0.000
Pb 0.000 0.500 0.250
Br 0.000 0.000 0.396

## Properties
For the density of states at the Fermi level, the calculation gives 0.553 states/eV/atom. The value obtained for the uncorrected formation energy is 0.432 eV per atom. For the electronic total energy, the calculation gives -2.4657 eV per atom.

=====

(11)
The following is a DFT calculation (PBE) of a geometry-optimized Ir3OsRh4 structure.

abc: 2.682 8.898 9.942
angles: 90.00 90.00 90.00
Space group Immm (No. 71)
Inequivalent atoms, fractional coordinates:
Ir 0.000 0.000 0.000
Ir 0.000 0.500 0.224
Os 0.000 0.000 0.500
Rh 0.000 0.256 0.371

## Properties
For the density of states at the Fermi level, the calculation gives 1.405 states/eV/atom. For the formation energy, the calculation gives 0.26 eV/atom. For the electronic total energy, the calculation gives -8.1442 eV per atom.

=====

(12)
The following is a DFT calculation (PBE) of a geometry-optimized Y3Zn8Pd structure.

abc: 5.3162 5.3162 26.6513
angles: 90.00 90.00 120.00
Space group R3m (No. 160, hexagonal axes)
Inequivalent atoms, fractional coordinates:
Y 0.0000 0.0000 0.0000
Y 0.0000 0.0000 0.1263
Y 0.0000 0.0000 0.6133
Zn 0.0000 0.0000 0.3085
Zn 0.0000 0.0000 0.8104
Zn 0.0002 0.5001 0.5579
Zn 0.0018 0.5009 0.0613
Pd 0.0000 0.0000 0.5012

## Properties
For the density of states at the Fermi level, the calculation gives 0.589 states/eV/atom. For the formation energy, the calculation gives -0.37 eV/atom. For the electronic total energy, the calculation gives -3.2715 eV per atom.

=====

Look up the electronic total energy of the first one. -4.7332 eV per atom

=====

Among the records above, which one has the lowest electronic total energy? Ir3OsRh4

=====

Repeat the tenth record exactly.
The following is a DFT calculation (PBE) of a geometry-optimized BePb2Br2 structure.

abc: 4.450 4.450 17.182
angles: 90.00 90.00 90.00
Space group I4/mmm (No. 139)
Inequivalent atoms, fractional coordinates:
Be 0.000 0.000 0.000
Pb 0.000 0.500 0.250
Br 0.000 0.000 0.396

## Properties
For the density of states at the Fermi level, the calculation gives 0.553 states/eV/atom. The value obtained for the uncorrected formation energy is 0.432 eV per atom. For the electronic total energy, the calculation gives -2.4657 eV per atom.